1.
Compound: BaZrOs2
Source: Alexandria via LeMat-Bulk
Functional: PBE
Structure: relaxed

a b c (Å): 4.9140 4.9140 4.9140
angles (deg): 60.00 60.00 60.00
Closest atoms and distances in Å follow each position.
Atoms (fractional coordinates):
Os (0.2500, 0.2500, 0.2500)  4 Zr 3.01, 4 Ba 3.01
Os (0.7500, 0.7500, 0.7500)  4 Zr 3.01, 4 Ba 3.01
Ba (0.5000, 0.5000, 0.5000)  8 Os 3.01
Zr (0.0000, 0.0000, 0.0000)  8 Os 3.01

Calculated values
Magnetization in μB/f.u.: 0.0
Relative energy among the computed polymorphs in eV/f.u.: 2.44
Space group: Fm-3m (225)
ΔE_f in eV/f.u.: 3.2
Final energy in eV per cell: -29.70

---

2.
Compound: Li5PmPd6
Source: Alexandria via LeMat-Bulk
Functional: PBE
Structure: relaxed

a b c (Å): 4.2016 6.9618 7.4900
angles (deg): 117.69 106.29 90.00
Closest atoms and distances in Å follow each position.
Atoms (fractional coordinates):
Pm (0.0000, 0.0000, 0.0000)  8 Pd 2.83-2.88, 4 Li 3.04
Pd (0.8286, 0.5645, 0.6572)  7 Li 2.54-2.79, 1 Pm 2.83
Pd (0.8286, 0.0927, 0.6572)  7 Li 2.54-2.79, 1 Pm 2.83
Pd (0.5000, 0.7171, 0.0000)  4 Li 2.59-2.67, 2 Pm 2.88
Pd (0.5000, 0.2829, 0.0000)  4 Li 2.59-2.67, 2 Pm 2.88
Pd (0.1714, 0.9073, 0.3428)  7 Li 2.54-2.79, 1 Pm 2.83
Pd (0.1714, 0.4355, 0.3428)  7 Li 2.54-2.79, 1 Pm 2.83
Li (0.6749, 0.1749, 0.3498)  6 Pd 2.54-2.79, 2 Li 2.82
Li (0.3250, 0.3250, 0.6499)  8 Pd 2.67, 2 Li 2.82
Li (0.0000, 0.5000, 0.0000)  8 Pd 2.59-2.71
Li (0.6750, 0.6750, 0.3501)  8 Pd 2.67, 2 Li 2.82
Li (0.3251, 0.8251, 0.6502)  6 Pd 2.54-2.79, 2 Li 2.82

Calculated values
Magnetization in μB/f.u.: 0.0
Space group: Immm (71)
ΔE_f in eV/f.u.: -6.0
Final energy in eV per cell: -51.46

---

3.
Compound: CeInIr
Source: Alexandria via LeMat-Bulk
Functional: PBE
Structure: relaxed

a b c (Å): 5.3973 5.1563 5.1563
angles (deg): 90.00 90.00 90.00
Closest atoms and distances in Å follow each position.
Atoms (fractional coordinates):
Ce (0.8427, 0.0000, 0.5000)  1 Ir 2.44
Ce (0.1573, 0.5000, 0.0000)  1 Ir 2.44
In (0.5000, 0.0000, 0.0000)  4 Ir 2.81
In (0.5000, 0.5000, 0.5000)  4 Ir 2.81
Ir (0.2943, 0.0000, 0.5000)  1 Ce 2.44
Ir (0.7057, 0.5000, 0.0000)  1 Ce 2.44

Calculated values
Magnetization in μB/f.u.: 0.2
Space group: P4/nmm (129)
ΔE_f in eV/f.u.: -1.5
Final energy in eV per cell: -38.10

---

4.
Compound: Be2ReBr
Source: Alexandria via LeMat-Bulk
Functional: PBE
Structure: relaxed

a b c (Å): 4.2272 4.2272 4.2272
angles (deg): 60.00 60.00 60.00
Closest atoms and distances in Å follow each position.
Atoms (fractional coordinates):
Re (0.5000, 0.5000, 0.5000)  8 Be 2.59
Br (0.0000, 0.0000, 0.0000)  8 Be 2.59
Be (0.2500, 0.2500, 0.2500)  4 Re 2.59, 4 Br 2.59
Be (0.7500, 0.7500, 0.7500)  4 Re 2.59, 4 Br 2.59

Calculated values
Magnetization in μB/f.u.: 0.0
Relative energy among the computed polymorphs in eV/f.u.: 3.59
Space group: Fm-3m (225)
Final energy in eV per cell: -16.46
Energy relative to the elements, uncorrected in meV/atom: 1279.2